First-principles (PBE-GGA) data for a relaxed structure of Dy2Tc2B2C, as listed in the Alexandria database. Values from VASP.

Computed properties:
* VASP energy: -7.917 eV/atom
* E_form: -0.41 eV/atom
* DOS(E_F): 0.417 states/eV/atom

The structure in Quantum ESPRESSO input format:
```
&SYSTEM
  ibrav = 0, nat = 7, ntyp = 4
/
ATOMIC_SPECIES
Dy 162.50 Dy.upf
Tc 98.00 Tc.upf
B 10.81 B.upf
C 12.01 C.upf
CELL_PARAMETERS angstrom
3.558 0.000 0.000
1.779 5.457 -0.282
1.779 1.775 5.314
ATOMIC_POSITIONS crystal
Dy 0.571 0.184 0.675
Dy 0.429 0.816 0.325
Tc 0.205 0.686 0.904
Tc 0.795 0.314 0.096
B 0.161 0.400 0.278
B 0.839 0.600 0.722
C 0.000 0.000 0.000
```



First-principles (PBE-GGA) data for a relaxed structure of Ca2MgZn4Au3, as listed in the Alexandria database. Values from VASP.

Computed properties:
* VASP energy: -2.514 eV/atom
* E_form: -0.46 eV/atom
* DOS(E_F): 0.438 states/eV/atom

The structure in Quantum ESPRESSO input format:
```
&SYSTEM
  ibrav = 0, nat = 10, ntyp = 4
/
ATOMIC_SPECIES
Ca 40.08 Ca.upf
Mg 24.30 Mg.upf
Zn 65.41 Zn.upf
Au 196.97 Au.upf
CELL_PARAMETERS angstrom
4.096 0.000 0.000
0.000 4.096 0.000
0.000 0.000 12.272
ATOMIC_POSITIONS crystal
Ca 0.500 0.000 0.240
Ca 0.000 0.500 0.760
Mg 0.500 0.500 0.500
Zn 0.500 0.500 0.000
Zn 0.000 0.000 0.000
Zn 0.500 0.000 0.648
Zn 0.000 0.500 0.352
Au 0.000 0.000 0.500
Au 0.500 0.000 0.858
Au 0.000 0.500 0.142
```



First-principles (PBE-GGA) data for a relaxed structure of SrLiEu2, as listed in the Alexandria database. Values from VASP.

Computed properties:
* VASP energy: -5.933 eV/atom
* E_form: 0.10 eV/atom
* DOS(E_F): 3.299 states/eV/atom
* excess energy over the best structure of this formula in the dataset: 52 meV per atom

The structure in Quantum ESPRESSO input format:
```
&SYSTEM
  ibrav = 0, nat = 4, ntyp = 3
/
ATOMIC_SPECIES
Eu 151.96 Eu.upf
Sr 87.62 Sr.upf
Li 6.94 Li.upf
CELL_PARAMETERS angstrom
3.955 0.000 0.000
1.978 3.425 0.000
1.978 1.142 12.344
ATOMIC_POSITIONS crystal
Eu 0.741 0.741 0.778
Eu 0.259 0.259 0.222
Sr 0.500 0.500 0.500
Li 0.000 0.000 0.000
```



First-principles (PBE-GGA) data for a relaxed structure of Nb2Al5Co2Ir, as listed in the Alexandria database. Values from VASP.

Computed properties:
* VASP energy: -6.632 eV/atom
* E_form: -0.44 eV/atom
* DOS(E_F): 0.687 states/eV/atom

The structure in Quantum ESPRESSO input format:
```
&SYSTEM
  ibrav = 0, nat = 20, ntyp = 4
/
ATOMIC_SPECIES
Nb 92.91 Nb.upf
Al 26.98 Al.upf
Co 58.93 Co.upf
Ir 192.22 Ir.upf
CELL_PARAMETERS angstrom
3.810 0.000 0.000
0.000 8.729 0.000
0.000 0.000 8.729
ATOMIC_POSITIONS crystal
Nb 0.000 0.677 0.177
Nb 0.000 0.323 0.823
Nb 0.000 0.177 0.323
Nb 0.000 0.823 0.677
Al 0.500 0.205 0.065
Al 0.500 0.795 0.935
Al 0.500 0.065 0.795
Al 0.500 0.705 0.435
Al 0.500 0.935 0.205
Al 0.500 0.295 0.565
Al 0.500 0.565 0.705
Al 0.500 0.435 0.295
Al 0.500 0.500 0.000
Al 0.500 0.000 0.500
Co 0.000 0.119 0.619
Co 0.000 0.881 0.381
Co 0.000 0.619 0.881
Co 0.000 0.381 0.119
Ir 0.000 0.000 0.000
Ir 0.000 0.500 0.500
```



First-principles (PBE-GGA) data for a relaxed structure of Na2Rh3S6, as listed in the Alexandria database. Values from VASP.

Computed properties:
* VASP energy: -5.129 eV/atom
* DOS(E_F): 0.772 states/eV/atom
* energy relative to the elements, uncorrected: -633 meV/atom

The structure in Quantum ESPRESSO input format:
```
&SYSTEM
  ibrav = 0, nat = 11, ntyp = 3
/
ATOMIC_SPECIES
Na 22.99 Na.upf
Rh 102.91 Rh.upf
S 32.06 S.upf
CELL_PARAMETERS angstrom
-1.901 1.420 5.762
3.124 -2.174 4.936
3.064 5.658 1.865
ATOMIC_POSITIONS crystal
Na 0.166 0.667 0.500
Na 0.834 0.333 0.500
Rh 0.000 0.000 0.000
Rh 0.333 0.333 0.000
Rh 0.667 0.667 0.000
S 0.395 0.666 0.813
S 0.730 0.000 0.810
S 0.062 0.334 0.813
S 0.270 0.000 0.190
S 0.605 0.334 0.187
S 0.938 0.666 0.187
```



First-principles (PBE-GGA) data for a relaxed structure of BaBeNb2Se, as listed in the Alexandria database. Values from VASP.

Computed properties:
* VASP energy: -3.248 eV/atom
* DOS(E_F): 1.254 states/eV/atom
* energy relative to the elements, uncorrected: 2607 meV/atom

The structure in Quantum ESPRESSO input format:
```
&SYSTEM
  ibrav = 0, nat = 5, ntyp = 4
/
ATOMIC_SPECIES
Be 9.01 Be.upf
Nb 92.91 Nb.upf
Ba 137.33 Ba.upf
Se 78.96 Se.upf
CELL_PARAMETERS angstrom
-2.407 4.582 -0.048
-5.056 -2.645 1.021
0.785 0.466 5.094
ATOMIC_POSITIONS crystal
Be 0.500 0.500 0.500
Nb 0.000 0.000 0.500
Nb 0.500 0.000 0.000
Ba 0.000 0.000 0.000
Se 0.000 0.500 0.000
```



First-principles (PBE-GGA) data for a relaxed structure of Tb9Tm4Cd11, as listed in the Alexandria database. Values from VASP.

Computed properties:
* VASP energy: -3.132 eV/atom
* E_form: -0.23 eV/atom
* DOS(E_F): 1.135 states/eV/atom

The structure in Quantum ESPRESSO input format:
```
&SYSTEM
  ibrav = 0, nat = 24, ntyp = 3
/
ATOMIC_SPECIES
Tb 158.93 Tb.upf
Tm 168.93 Tm.upf
Cd 112.41 Cd.upf
CELL_PARAMETERS angstrom
-0.197 -1.066 -3.348
-9.104 -9.790 3.654
-6.846 11.592 -3.288
ATOMIC_POSITIONS crystal
Tb 0.500 0.621 0.153
Tb 0.500 0.379 0.847
Tb 0.500 0.153 0.621
Tb 0.500 0.847 0.379
Tb 0.500 0.794 0.975
Tb 0.500 0.206 0.025
Tb 0.500 0.975 0.794
Tb 0.500 0.025 0.206
Tb 0.500 0.500 0.500
Tm 0.500 0.578 0.749
Tm 0.500 0.422 0.251
Tm 0.500 0.749 0.578
Tm 0.500 0.251 0.422
Cd 0.000 0.587 0.947
Cd 0.000 0.413 0.053
Cd 0.000 0.947 0.587
Cd 0.000 0.053 0.413
Cd 0.000 0.630 0.370
Cd 0.000 0.370 0.630
Cd 0.000 0.824 0.176
Cd 0.000 0.176 0.824
Cd 0.000 0.000 0.000
Cd 0.000 0.775 0.775
Cd 0.000 0.225 0.225
```



First-principles (PBE-GGA) data for a relaxed structure of YCdP, as listed in the Alexandria database. Values from VASP.

Computed properties:
* VASP energy: -4.967 eV/atom
* E_form: -0.70 eV/atom
* DOS(E_F): 0.434 states/eV/atom
* excess energy over the best structure of this formula in the dataset: 49 meV per atom

The structure in Quantum ESPRESSO input format:
```
&SYSTEM
  ibrav = 0, nat = 12, ntyp = 3
/
ATOMIC_SPECIES
Y 88.91 Y.upf
P 30.97 P.upf
Cd 112.41 Cd.upf
CELL_PARAMETERS angstrom
-2.285 -2.052 2.310
6.059 -3.066 3.270
0.120 6.921 6.267
ATOMIC_POSITIONS crystal
Y 0.250 0.950 0.317
Y 0.750 0.550 0.817
Y 0.750 0.050 0.683
Y 0.250 0.450 0.183
P 0.250 0.283 0.807
P 0.750 0.217 0.307
P 0.750 0.717 0.193
P 0.250 0.783 0.693
Cd 0.250 0.353 0.523
Cd 0.750 0.147 0.023
Cd 0.750 0.647 0.477
Cd 0.250 0.853 0.977
```